No. 1
Li5Mg6Cu | PBE | relaxed

Lattice parameters (Å, degrees): 7.4379 7.4379 6.8761 90.00 90.00 143.18
Last column: nearest neighbours and their distance in Å.
Sites, in units of the cell vectors:
Li 0.0000 0.0000 0.0000  8 Mg 2.87-2.98
Li 0.3277 0.6723 0.0000  8 Mg 2.95-3.04, 2 Li 3.21
Li 0.3315 0.6685 0.5000  8 Mg 2.87-2.94
Li 0.6685 0.3315 0.5000  8 Mg 2.87-2.94
Li 0.6723 0.3277 0.0000  8 Mg 2.95-3.04, 2 Li 3.21
Mg 0.1596 0.8404 0.2591  1 Cu 2.80, 7 Li 2.87-2.97
Mg 0.1596 0.8404 0.7409  1 Cu 2.80, 7 Li 2.87-2.97
Mg 0.5000 0.5000 0.2657  2 Cu 2.85, 6 Li 2.87-3.04
Mg 0.5000 0.5000 0.7343  2 Cu 2.85, 6 Li 2.87-3.04
Mg 0.8404 0.1596 0.2591  1 Cu 2.80, 7 Li 2.87-2.97
Mg 0.8404 0.1596 0.7409  1 Cu 2.80, 7 Li 2.87-2.97
Cu 0.0000 0.0000 0.5000  8 Mg 2.80-2.85

For the formation energy, the calculation gives -0.066 eV per atom.

---

No. 2
NdEr2Fe | PBE | relaxed

Lattice parameters (Å, degrees): 10.8265 10.8265 10.8265 18.43 18.43 18.43
Last column: nearest neighbours and their distance in Å.
Sites, in units of the cell vectors:
Nd 0.0000 0.0000 0.0000  6 Nd 3.47, 2 Er 3.50
Er 0.1096 0.1096 0.1096  3 Fe 2.71
Er 0.8904 0.8904 0.8904  3 Fe 2.71
Fe 0.5000 0.5000 0.5000  6 Er 2.71

The offset from the most stable computed form is 5.79 kcal/mol of atoms. For the formation energy, the calculation gives 0.297 eV per atom.

---

No. 3
YZr2Te | PBE | relaxed

Lattice parameters (Å, degrees): 5.1450 5.1450 5.1450 60.00 60.00 60.00
Last column: nearest neighbours and their distance in Å.
Sites, in units of the cell vectors:
Y 0.0000 0.0000 0.0000  4 Te 3.15, 4 Zr 3.15
Zr 0.2500 0.2500 0.2500  4 Zr 3.15, 4 Y 3.15
Zr 0.5000 0.5000 0.5000  4 Zr 3.15, 4 Te 3.15
Te 0.7500 0.7500 0.7500  4 Zr 3.15, 4 Y 3.15

For the formation energy (no corrections), the calculation gives -84 meV per atom.

---

No. 4
Tm8P3CS4 | PBE | relaxed

Lattice parameters (Å, degrees): 7.7324 7.7324 7.7324 59.78 59.78 59.78
Last column: nearest neighbours and their distance in Å.
Sites, in units of the cell vectors:
Tm 0.2474 0.2474 0.2474  3 P 2.70, 3 S 2.76
Tm 0.2633 0.7322 0.7322  1 C 2.53, 2 P 2.71, 2 S 2.76
Tm 0.2678 0.2678 0.7367  1 C 2.53, 2 P 2.71, 2 S 2.76
Tm 0.2678 0.7367 0.2678  1 C 2.53, 2 P 2.71, 2 S 2.76
Tm 0.7322 0.2633 0.7322  1 C 2.53, 2 P 2.71, 2 S 2.76
Tm 0.7322 0.7322 0.2633  1 C 2.53, 2 P 2.71, 2 S 2.76
Tm 0.7367 0.2678 0.2678  1 C 2.53, 2 P 2.71, 2 S 2.76
Tm 0.7526 0.7526 0.7526  3 P 2.70, 3 S 2.76
P 0.0000 0.0000 0.5000  6 Tm 2.70-2.71
P 0.0000 0.5000 0.0000  6 Tm 2.70-2.71
P 0.5000 0.0000 0.0000  6 Tm 2.70-2.71
C 0.5000 0.5000 0.5000  6 Tm 2.53
S 0.0000 0.0000 0.0000  6 Tm 2.92
S 0.0000 0.5000 0.5000  6 Tm 2.76
S 0.5000 0.0000 0.5000  6 Tm 2.76
S 0.5000 0.5000 0.0000  6 Tm 2.76

For the formation energy (no corrections), the calculation gives -1706 meV per atom.

---

No. 5
KBi2TePt | PBE | relaxed

Lattice parameters (Å, degrees): 5.4600 5.4600 5.7818 90.00 90.00 90.00
Last column: nearest neighbours and their distance in Å.
Sites, in units of the cell vectors:
K 0.0000 0.0000 0.0000  4 Te 3.86, 8 Bi 3.98
Bi 0.0000 0.5000 0.5000  2 Pt 2.73
Bi 0.5000 0.0000 0.5000  2 Pt 2.73
Te 0.5000 0.5000 0.0000  2 Pt 2.89
Pt 0.5000 0.5000 0.5000  4 Bi 2.73, 2 Te 2.89

For the formation energy (no corrections), the calculation gives -60 meV per atom.

---

No. 6
Ba3Zr5Te12 | PBE | relaxed

Lattice parameters (Å, degrees): 15.9727 15.9727 15.9727 109.47 109.47 109.47
Last column: nearest neighbours and their distance in Å.
Sites, in units of the cell vectors:
Ba 0.1250 0.2500 0.3750  8 Te 3.64-3.65
Ba 0.1250 0.3750 0.7500  8 Te 3.64-3.65
Ba 0.2500 0.3750 0.1250  8 Te 3.64-3.65
Ba 0.2500 0.8750 0.6250  8 Te 3.64-3.65
Ba 0.3750 0.1250 0.2500  8 Te 3.64-3.65
Ba 0.3750 0.7500 0.1250  8 Te 3.64-3.65
Ba 0.6250 0.2500 0.8750  8 Te 3.64-3.65
Ba 0.6250 0.8750 0.7500  8 Te 3.64-3.65
Ba 0.7500 0.1250 0.3750  8 Te 3.64-3.65
Ba 0.7500 0.6250 0.8750  8 Te 3.64-3.65
Ba 0.8750 0.6250 0.2500  8 Te 3.64-3.65
Ba 0.8750 0.7500 0.6250  8 Te 3.64-3.65
Zr 0.0000 0.0000 0.0000  6 Te 2.95
Zr 0.0000 0.0000 0.5000  6 Te 2.95
Zr 0.0000 0.5000 0.0000  6 Te 2.95
Zr 0.0000 0.5000 0.5000  6 Te 2.95
Zr 0.1250 0.7500 0.8750  4 Te 2.76
Zr 0.1250 0.8750 0.2500  4 Te 2.76
Zr 0.2500 0.1250 0.8750  4 Te 2.76
Zr 0.2500 0.6250 0.3750  4 Te 2.76
Zr 0.3750 0.2500 0.6250  4 Te 2.76
Zr 0.3750 0.6250 0.7500  4 Te 2.76
Zr 0.5000 0.0000 0.0000  6 Te 2.95
Zr 0.5000 0.0000 0.5000  6 Te 2.95
Zr 0.5000 0.5000 0.0000  6 Te 2.95
Zr 0.5000 0.5000 0.5000  6 Te 2.95
Zr 0.6250 0.3750 0.2500  4 Te 2.76
Zr 0.6250 0.7500 0.3750  4 Te 2.76
Zr 0.7500 0.3750 0.6250  4 Te 2.76
Zr 0.7500 0.8750 0.1250  4 Te 2.76
Zr 0.8750 0.1250 0.7500  4 Te 2.76
Zr 0.8750 0.2500 0.1250  4 Te 2.76
Te 0.0228 0.2019 0.1126  2 Zr 2.76-2.95
Te 0.0228 0.3209 0.9103  2 Zr 2.76-2.95
Te 0.0894 0.7019 0.6791  2 Zr 2.76-2.95
Te 0.0894 0.8874 0.4103  2 Zr 2.76-2.95
Te 0.0897 0.6126 0.4106  2 Zr 2.76-2.95
Te 0.0897 0.9772 0.6791  2 Zr 2.76-2.95
Te 0.1126 0.0228 0.2019  2 Zr 2.76-2.95
Te 0.1126 0.5897 0.9106  2 Zr 2.76-2.95
Te 0.1791 0.2019 0.5894  2 Zr 2.76-2.95
Te 0.1791 0.4772 0.5897  2 Zr 2.76-2.95
Te 0.2019 0.1126 0.0228  2 Zr 2.76-2.95
Te 0.2019 0.5894 0.1791  2 Zr 2.76-2.95
Te 0.2981 0.3209 0.9106  2 Zr 2.76-2.95
Te 0.2981 0.4772 0.3874  2 Zr 2.76-2.95
Te 0.3209 0.9103 0.0228  2 Zr 2.76-2.95
Te 0.3209 0.9106 0.2981  2 Zr 2.76-2.95
Te 0.3874 0.2981 0.4772  2 Zr 2.76-2.95
Te 0.3874 0.5894 0.9103  2 Zr 2.76-2.95
Te 0.4103 0.0894 0.8874  2 Zr 2.76-2.95
Te 0.4103 0.8209 0.5228  2 Zr 2.76-2.95
Te 0.4106 0.0897 0.6126  2 Zr 2.76-2.95
Te 0.4106 0.8209 0.7981  2 Zr 2.76-2.95
Te 0.4772 0.3874 0.2981  2 Zr 2.76-2.95
Te 0.4772 0.5897 0.1791  2 Zr 2.76-2.95
Te 0.5228 0.4103 0.8209  2 Zr 2.76-2.95
Te 0.5228 0.6126 0.7019  2 Zr 2.76-2.95
Te 0.5894 0.1791 0.2019  2 Zr 2.76-2.95
Te 0.5894 0.9103 0.3874  2 Zr 2.76-2.95
Te 0.5897 0.1791 0.4772  2 Zr 2.76-2.95
Te 0.5897 0.9106 0.1126  2 Zr 2.76-2.95
Te 0.6126 0.4106 0.0897  2 Zr 2.76-2.95
Te 0.6126 0.7019 0.5228  2 Zr 2.76-2.95
Te 0.6791 0.0894 0.7019  2 Zr 2.76-2.95
Te 0.6791 0.0897 0.9772  2 Zr 2.76-2.95
Te 0.7019 0.5228 0.6126  2 Zr 2.76-2.95
Te 0.7019 0.6791 0.0894  2 Zr 2.76-2.95
Te 0.7981 0.4106 0.8209  2 Zr 2.76-2.95
Te 0.7981 0.8874 0.9772  2 Zr 2.76-2.95
Te 0.8209 0.5228 0.4103  2 Zr 2.76-2.95
Te 0.8209 0.7981 0.4106  2 Zr 2.76-2.95
Te 0.8874 0.4103 0.0894  2 Zr 2.76-2.95
Te 0.8874 0.9772 0.7981  2 Zr 2.76-2.95
Te 0.9103 0.0228 0.3209  2 Zr 2.76-2.95
Te 0.9103 0.3874 0.5894  2 Zr 2.76-2.95
Te 0.9106 0.1126 0.5897  2 Zr 2.76-2.95
Te 0.9106 0.2981 0.3209  2 Zr 2.76-2.95
Te 0.9772 0.6791 0.0897  2 Zr 2.76-2.95
Te 0.9772 0.7981 0.8874  2 Zr 2.76-2.95

For the formation energy (no corrections), the calculation gives -963 meV per atom.

---

No. 7
BeTcMo | PBE | relaxed

Lattice parameters (Å, degrees): 4.6709 4.6709 4.6709 141.31 141.31 55.86
Last column: nearest neighbours and their distance in Å.
Sites, in units of the cell vectors:
Be 0.0000 0.0000 0.0000  4 Tc 2.53, 5 Mo 2.60-2.73
Tc 0.6538 0.6538 0.0000  4 Be 2.53, 5 Mo 2.63-2.67
Mo 0.3303 0.3303 0.0000  5 Be 2.60-2.73, 5 Tc 2.63-2.67

The offset from the most stable computed form is 3.18 kcal/mol of atoms. For the formation energy, the calculation gives -0.056 eV per atom.

---

No. 8
PaSiAuO6 | PBE | relaxed

Lattice parameters (Å, degrees): 5.0381 5.0425 5.5662 102.69 99.07 101.94
Last column: nearest neighbours and their distance in Å.
Sites, in units of the cell vectors:
Pa 0.0000 0.0000 0.0000  3 O 2.01-2.15
Si 0.0483 0.7074 0.4055  4 O 1.66-1.83
Au 0.4940 0.3287 0.6130  4 O 1.97-2.14
O 0.1685 0.4123 0.3661  1 Si 1.70
O 0.2117 0.9961 0.6520  1 Si 1.72
O 0.2749 0.8562 0.2059  1 Si 1.87, 1 Pa 2.01
O 0.7531 0.2126 0.8482  1 Au 1.97, 1 Pa 2.01
O 0.7845 0.7334 0.1983  1 Si 1.66
O 0.8332 0.6388 0.6309  1 Si 1.83, 1 Au 2.04

For the formation energy (no corrections), the calculation gives -2075 meV per atom.

---

No. 9
CsP | PBE | relaxed

Lattice parameters (Å, degrees): 7.7437 7.7437 6.9353 90.00 90.00 90.00
Last column: nearest neighbours and their distance in Å.
Sites, in units of the cell vectors:
Cs 0.1911 0.1911 0.0000  4 P 3.54-3.62
Cs 0.3089 0.6911 0.5000  4 P 3.54-3.62
Cs 0.6911 0.3089 0.5000  4 P 3.54-3.62
Cs 0.8089 0.8089 0.0000  4 P 3.54-3.62
P 0.0949 0.0949 0.5000  1 P 2.08
P 0.4051 0.5949 0.0000  1 P 2.08
P 0.5949 0.4051 0.0000  1 P 2.08
P 0.9051 0.9051 0.5000  1 P 2.08

For the formation energy, the calculation gives -0.214 eV per atom.

---

No. 10
Mg2Ga2Ag3 | PBE | relaxed

Lattice parameters (Å, degrees): 5.5074 5.5074 6.2877 106.70 106.70 47.78
Last column: nearest neighbours and their distance in Å.
Sites, in units of the cell vectors:
Mg 0.1181 0.1181 0.3666  3 Ga 2.78-2.93, 2 Ag 2.83-3.06
Mg 0.8819 0.8819 0.6334  3 Ga 2.78-2.93, 2 Ag 2.83-3.06
Ga 0.3870 0.3870 0.3326  1 Ga 2.57, 3 Ag 2.65-2.68, 1 Mg 2.78
Ga 0.6130 0.6130 0.6674  1 Ga 2.57, 3 Ag 2.65-2.68, 1 Mg 2.78
Ag 0.1647 0.1647 0.9081  3 Ga 2.65-2.90, 1 Mg 2.83, 4 Ag 2.83-2.94
Ag 0.5000 0.5000 0.0000  2 Ga 2.68, 4 Ag 2.94
Ag 0.8353 0.8353 0.0919  3 Ga 2.65-2.90, 1 Mg 2.83, 4 Ag 2.83-2.94

For the formation energy, the calculation gives -0.110 eV per atom.